(1)
A crystal of SrRh2W relaxed with PBEsol, computed with meta-GGA SCAN.

The calculation puts the energy of formation from the pure elements at 0.193 eV/atom. As for the crystal system: monoclinic. The distance to the lowest polymorph of the same formula comes out at 0.000 eV/atom. For the total DFT energy (no corrections), the calculation gives -39.684 eV per atom. For the volume, the calculation gives 19.00 A^3/atom.

It has space group C2/m (No. 12), with a = 7.4307 Å, b = 2.8681 Å, c = 7.1456 Å, α = 90.00°, β = 93.65° and γ = 90.00°. Symmetry generates all atoms from Sr at (0.0000, 0.0000, 0.0000), Rh at (0.2465, 0.0000, 0.6937) and W at (0.0000, 0.5000, 0.5000).

(2)
A crystal of SrRh2W relaxed with PBEsol, computed with meta-GGA SCAN.

The calculation puts the energy of formation from the pure elements at 0.362 eV/atom. As for the crystal system: orthorhombic. The distance to the lowest polymorph of the same formula comes out at 0.169 eV/atom. For the total DFT energy (no corrections), the calculation gives -39.515 eV per atom. For the volume, the calculation gives 19.11 A^3/atom.

It has space group Pmm2 (No. 25), with a = 2.8049 Å, b = 4.0304 Å, c = 6.7630 Å, α = 90.00°, β = 90.00° and γ = 90.00°. Symmetry generates all atoms from Sr at (0.0000, 0.0000, 0.0000), Rh at (0.0000, 0.0000, 0.5039), Rh at (0.5000, 0.5000, 0.7252) and W at (0.5000, 0.5000, 0.3722).